1.
Here is a crystal of ZnBO2 relaxed with PBEsol from the Alexandria database. Energies are from meta-GGA SCAN.

Properties
Space group: R-3m
Magnetic moment in μB per cell: 0.00
Raw total energy in eV per atom: -9.4342
Uncorrected formation energy in eV per atom: -1.082

Structure (POSCAR):
```
ZnBO2
1.0
-2.100 1.202 -0.699
-2.240 -1.119 0.269
-1.939 2.313 5.269
Zn B O
1 1 2
Cartesian
0.000 0.000 0.000
-3.139 1.198 2.419
-4.514 0.892 1.484
-1.765 1.504 3.354
```



2.
Here is a crystal of CrRe2O6 relaxed with PBEsol from the Alexandria database. Energies are from meta-GGA SCAN.

Properties
Space group: P4_2/mnm
Magnetic moment in μB per cell: 5.07
Raw total energy in eV per atom: -23.7913
Uncorrected formation energy in eV per atom: -1.795

Structure (POSCAR):
```
CrRe2O6
1.0
4.711 0.000 0.000
0.000 4.711 0.000
0.000 0.000 8.343
Cr O Re
2 12 4
Cartesian
2.355 2.355 4.172
0.000 0.000 0.000
1.061 3.650 4.172
3.650 1.061 4.172
1.294 1.294 0.000
3.417 3.417 0.000
0.952 3.759 6.936
0.952 3.759 1.408
3.759 0.952 6.936
3.759 0.952 1.408
1.403 1.403 5.579
1.403 1.403 2.764
3.308 3.308 2.764
3.308 3.308 5.579
2.355 2.355 7.076
2.355 2.355 1.268
0.000 0.000 2.904
0.000 0.000 5.440
```



3.
Here is a crystal of K2BaMgTe relaxed with PBEsol from the Alexandria database. Energies are from meta-GGA SCAN.

Properties
Space group: P4/mmm
Magnetic moment in μB per cell: 1.41
Raw total energy in eV per atom: -19.0730
Uncorrected formation energy in eV per atom: 0.614

Structure (POSCAR):
```
K2BaMgTe
1.0
-1.796 5.147 -3.186
2.539 -2.794 -5.945
-6.256 -2.973 -1.275
Mg K Te Ba
1 2 1 1
Cartesian
-0.898 2.574 -1.593
-3.128 -1.486 -0.638
1.270 -1.397 -2.973
-2.757 -0.310 -5.203
0.000 0.000 0.000
```



4.
Here is a crystal of ZrIn2Se relaxed with PBEsol from the Alexandria database. Energies are from meta-GGA SCAN.

Properties
Space group: Amm2
Magnetic moment in μB per cell: 0.00
Raw total energy in eV per atom: -29.8031
Uncorrected formation energy in eV per atom: -0.416

Structure (POSCAR):
```
ZrIn2Se
1.0
3.566 0.000 0.000
0.000 4.581 0.000
-1.783 0.000 5.537
In Se Zr
2 1 1
Cartesian
0.000 0.000 0.906
0.000 2.290 4.708
1.783 0.000 3.506
1.783 2.290 2.139
```



What is the raw total energy in the second record? -23.7913 eV per atom